First-principles (PBE with a Hubbard U) data for an optimized crystal structure of CrCoAs2O8, as listed in Alexandria.

Cell lengths 5.580, 5.580, 5.580 Å; angles 107.97, 107.97, 112.52 degrees
Fractional coordinates of all 12 atoms:
1 Cr 0.000 0.000 0.000
2 Co 0.250 0.750 0.500
3 As 0.750 0.250 0.500
4 As 0.500 0.500 0.000
5 O 0.367 0.056 0.311
6 O 0.310 0.500 0.190
7 O 0.310 0.120 0.810
8 O 0.745 0.056 0.689
9 O 0.880 0.690 0.190
10 O 0.944 0.255 0.311
11 O 0.944 0.633 0.689
12 O 0.500 0.690 0.810

Calculated values
The total energy is -6.19 eV per atom.